# 1
Density functional theory data (PBE-GGA) for a geometry-optimized ScAg2P structure.

The structure in CIF format:
```
data_ScAg2P
_chemical_formula_sum 'Sc1 Ag2 P1'
_cell_length_a 3.833
_cell_length_b 3.833
_cell_length_c 4.933
_cell_angle_alpha 90.00
_cell_angle_beta 90.00
_cell_angle_gamma 90.00
_symmetry_space_group_name_H-M 'P 4/m m m'
_symmetry_Int_Tables_number 123
_symmetry_space_group_name_Hall '-P 4 2'
loop_
_atom_site_label
_atom_site_type_symbol
_atom_site_fract_x
_atom_site_fract_y
_atom_site_fract_z
Sc1 Sc 0.000 0.000 0.000
Ag1 Ag 0.000 0.500 0.500
P1 P 0.500 0.500 0.000
```

* D(E_F): 0.2085 states/eV/atom
* energy relative to the lowest polymorph listed for this composition: 8 meV per atom
* energy of formation from the pure elements: -41.18 kJ/mol of atoms

# 2
Density functional theory data (PBE-GGA) for a geometry-optimized ScAg2P structure.

The structure in CIF format:
```
data_ScAg2P
_chemical_formula_sum 'Sc1 Ag2 P1'
_cell_length_a 3.573
_cell_length_b 3.573
_cell_length_c 6.199
_cell_angle_alpha 90.00
_cell_angle_beta 90.00
_cell_angle_gamma 90.00
_symmetry_space_group_name_H-M 'P 4 m m'
_symmetry_Int_Tables_number 99
loop_
_symmetry_equiv_pos_as_xyz
'x,y,z'
'-y,x,z'
'-x,-y,z'
'y,-x,z'
'-x,y,z'
'y,x,z'
'x,-y,z'
'-y,-x,z'
loop_
_atom_site_label
_atom_site_type_symbol
_atom_site_fract_x
_atom_site_fract_y
_atom_site_fract_z
Sc1 Sc 0.000 0.000 0.000
Ag1 Ag 0.000 0.000 0.515
Ag2 Ag 0.500 0.500 0.315
P1 P 0.500 0.500 0.896
```

* D(E_F): 0.2221 states/eV/atom
* energy relative to the lowest polymorph listed for this composition: 87 meV per atom
* energy of formation from the pure elements: -33.55 kJ/mol of atoms

# 3
Density functional theory data (PBE-GGA) for a geometry-optimized ScAg2P structure.

The structure in CIF format:
```
data_ScAg2P
_chemical_formula_sum 'Sc3 Ag6 P3'
_cell_length_a 3.9680
_cell_length_b 3.9680
_cell_length_c 17.8616
_cell_angle_alpha 90.00
_cell_angle_beta 90.00
_cell_angle_gamma 120.00
_symmetry_space_group_name_H-M 'R 3 m'
_symmetry_Int_Tables_number 160
_symmetry_space_group_name_Hall 'R 3 -2"'
loop_
_atom_site_label
_atom_site_type_symbol
_atom_site_fract_x
_atom_site_fract_y
_atom_site_fract_z
Sc1 Sc 0.0000 0.0000 0.0000
Ag1 Ag 0.0000 0.0000 0.2238
Ag2 Ag 0.0000 0.0000 0.4636
P1 P 0.0000 0.0000 0.7320
```

* D(E_F): 0.1855 states/eV/atom
* energy relative to the lowest polymorph listed for this composition: 161 meV per atom
* energy of formation from the pure elements: -26.39 kJ/mol of atoms